Compound: Ag2AsPt
Source: Alexandria
Functional: PBE
Structure: optimized geometry

Properties
- ΔE_f (eV/atom) = 0.0682

Cell lengths 4.8956, 4.8956, 4.8956 Å; angles 128.98, 128.98, 75.04 degrees
Positions (direct):
Ag  0.2500  0.7500  0.5000
As  0.5000  0.5000  0.0000
Pt  0.7500  0.2500  0.5000
Ag  0.0000  0.0000  0.0000

Compound: Ca2HgOs
Source: Alexandria
Functional: PBE
Structure: optimized geometry

Properties
- ΔE_f (eV/atom) = 0.3434

Cell lengths 9.9858, 9.9858, 9.9858 Å; angles 19.46, 19.46, 19.46 degrees
Positions (direct):
Ca  0.4883  0.4883  0.4883
Hg  0.2500  0.2500  0.2500
Os  0.7500  0.7500  0.7500
Ca  0.0117  0.0117  0.0117

Compound: La2Zn4Si3Pd
Source: Alexandria
Functional: PBE
Structure: optimized geometry

Properties
- uncorrected formation energy (eV/atom) = -0.51

Cell lengths 4.2278, 4.2278, 10.5686 Å; angles 90.00, 90.00, 90.00 degrees
Positions (direct):
La  0.5000  0.0000  0.2487
La  0.0000  0.5000  0.7513
Zn  0.5000  0.5000  0.0000
Si  0.5000  0.0000  0.8635
Pd  0.5000  0.5000  0.5000
Zn  0.5000  0.0000  0.6321
Zn  0.0000  0.5000  0.3679
Zn  0.0000  0.0000  0.0000
Si  0.0000  0.0000  0.5000
Si  0.0000  0.5000  0.1365

Compound: PrEr2Tl2Ag2
Source: Alexandria
Functional: PBE
Structure: optimized geometry

Properties
- ΔE_f (eV/atom) = -0.1942

Cell lengths 4.9226, 4.9226, 9.1836 Å; angles 74.45, 74.45, 60.00 degrees
Positions (direct):
Ag  0.5605  0.5605  0.3185
Pr  0.0000  0.0000  0.0000
Er  0.8664  0.8664  0.4007
Tl  0.7378  0.7378  0.7866
Tl  0.2622  0.2622  0.2134
Ag  0.4395  0.4395  0.6815
Er  0.1336  0.1336  0.5993

Compound: Ac2CrN4
Source: Alexandria
Functional: PBE
Structure: optimized geometry

Properties
- uncorrected formation energy (eV/atom) = -1.12
- energy above the lowest structure with this stoichiometry (meV/atom) = 0

Cell lengths 5.7051, 7.5530, 10.3348 Å; angles 90.00, 90.00, 90.00 degrees
Positions (direct):
N  0.7500  0.5021  0.5878
N  0.4999  0.1807  0.6438
N  0.2500  0.9979  0.0878
Cr  0.2500  0.7275  0.4240
Ac  0.2500  0.6553  0.0769
N  0.7500  0.2050  0.4129
N  0.2500  0.7950  0.5871
Ac  0.7500  0.0147  0.1894
Cr  0.7500  0.2725  0.5760
Ac  0.7500  0.5147  0.3106
Ac  0.2500  0.9853  0.8106
Ac  0.7500  0.8447  0.5769
N  0.5001  0.3193  0.1438
N  0.4999  0.6807  0.8562
N  0.9999  0.3193  0.1438
N  0.0001  0.1807  0.6438
Ac  0.2500  0.1553  0.4231
Ac  0.7500  0.3447  0.9231
N  0.5001  0.8193  0.3562
Cr  0.7500  0.7725  0.9240
N  0.9999  0.8193  0.3562
N  0.7500  0.7050  0.0871
N  0.2500  0.2950  0.9129
N  0.0001  0.6807  0.8562
N  0.2500  0.4979  0.4122
Ac  0.2500  0.4853  0.6894
N  0.7500  0.0021  0.9122
Cr  0.2500  0.2275  0.0760

Compound: Pm4NiAu
Source: Alexandria
Functional: PBE
Structure: optimized geometry

Properties
- ΔE_f (eV/atom) = -0.2117

Cell lengths 4.9555, 4.9572, 7.1399 Å; angles 89.85, 89.93, 90.00 degrees
Positions (direct):
Pm  0.5009  0.9965  0.2635
Pm  0.0010  0.4965  0.2636
Pm  0.0017  0.4981  0.7327
Ni  0.0012  0.9975  0.4983
Pm  0.5017  0.9980  0.7327
Au  0.5014  0.4972  0.9981

Compound: ZnPd3Cl9
Source: Alexandria
Functional: PBE
Structure: optimized geometry

Properties
- uncorrected formation energy (eV/atom) = -0.46

Cell lengths 6.3085, 10.7105, 10.7393 Å; angles 74.64, 72.92, 72.87 degrees
Each line ends with the local moment (μB).
Positions (direct):
Cl  0.5609  0.0367  0.7988  0.01
Zn  0.1843  0.5004  0.9480  0.01
Pd  0.9076  0.8838  0.8415  0.03
Pd  0.9729  0.0876  0.1820  0.50
Cl  0.1738  0.5198  0.1725  0.00
Pd  0.7575  0.5876  0.6819  0.50
Cl  0.6777  0.2739  0.1671  0.09
Cl  0.1339  0.0198  0.6725  0.00
Cl  0.3195  0.7964  0.4360  0.01
Cl  0.3676  0.9909  0.1521  0.03
Cl  0.4895  0.4909  0.6521  0.03
Cl  0.9062  0.4551  0.8791  0.14
Pd  0.4906  0.7659  0.2194  0.01
Cl  0.5760  0.2399  0.5026  0.00
Cl  0.8813  0.7739  0.6671  0.09
Cl  0.2508  0.7140  0.8691  0.00
Cl  0.4481  0.2964  0.9360  0.01
Zn  0.3673  0.0004  0.4480  0.01
Cl  0.6036  0.5367  0.2988  0.01
Cl  0.0593  0.4930  0.5096  0.02
Cl  0.6815  0.7399  0.0026  0.00
Pd  0.5240  0.2659  0.7194  0.01
Cl  0.7596  0.9551  0.3791  0.14
Pd  0.3670  0.3838  0.3415  0.03
Cl  0.9381  0.9930  0.0096  0.02
Cl  0.1661  0.2140  0.3691  0.00

Compound: NpZnSb
Source: Alexandria
Functional: PBE
Structure: optimized geometry

Properties
- uncorrected formation energy (eV/atom) = 0.00

Cell lengths 3.1754, 4.9675, 4.9675 Å; angles 120.00, 90.00, 90.00 degrees
Each line ends with the local moment (μB).
Positions (direct):
Sb  0.5001  0.6667  0.3333  -0.03
Np  0.0001  0.0000  0.0000  4.20
Zn  0.4998  0.3333  0.6667  0.00

Compound: Ag12H5S3
Source: Alexandria
Functional: PBE
Structure: optimized geometry

Cell lengths 11.6181, 11.6181, 11.6181 Å; angles 109.47, 109.47, 109.47 degrees
Positions (direct):
Ag  0.8038  0.4908  0.3979
Ag  0.8979  0.5941  0.9071
S  0.6250  0.3750  0.7500
Ag  0.3979  0.9908  0.8038
Ag  0.1021  0.6962  0.5092
H  0.6250  0.8750  0.2500
Ag  0.5941  0.6962  0.6870
Ag  0.1962  0.5092  0.6021
Ag  0.0929  0.1870  0.4908
Ag  0.5092  0.3130  0.9071
H  0.1250  0.7500  0.3750
Ag  0.0929  0.9059  0.1021
H  0.8750  0.6250  0.7500
S  0.1250  0.8750  0.7500
Ag  0.6962  0.1021  0.0092
Ag  0.4059  0.3038  0.3130
Ag  0.4059  0.1021  0.5929
Ag  0.0092  0.6021  0.6962
S  0.6250  0.2500  0.3750
Ag  0.0092  0.4071  0.8130
Ag  0.4071  0.3979  0.5941
Ag  0.0941  0.1870  0.1962
Ag  0.6021  0.0092  0.1962
H  0.3750  0.1250  0.7500
Ag  0.6870  0.4908  0.5929
Ag  0.3979  0.4071  0.0941
Ag  0.5092  0.1962  0.1021
Ag  0.4908  0.8038  0.8979
S  0.7500  0.8750  0.6250
Ag  0.9071  0.8130  0.5092
Ag  0.9059  0.8130  0.8038
Ag  0.9908  0.3979  0.3038
Ag  0.9908  0.5929  0.1870
H  0.5000  0.0000  0.0000
H  0.0000  0.0000  0.5000
Ag  0.1962  0.6870  0.0941
Ag  0.1021  0.4059  0.0929
Ag  0.5941  0.8979  0.4071
Ag  0.9059  0.0929  0.6021
H  0.5000  0.0000  0.5000
Ag  0.4071  0.0092  0.3130
H  0.0000  0.5000  0.0000
H  0.0000  0.5000  0.5000
Ag  0.0941  0.9071  0.3979
Ag  0.3130  0.8038  0.4059
S  0.8750  0.7500  0.1250
H  0.6250  0.7500  0.8750
S  0.3750  0.6250  0.2500
Ag  0.6962  0.5941  0.1870
H  0.1250  0.3750  0.2500
Ag  0.3038  0.8979  0.9908
H  0.5000  0.5000  0.0000
Ag  0.6021  0.5929  0.9059
S  0.2500  0.1250  0.3750
Ag  0.6870  0.1962  0.5941
Ag  0.3038  0.4059  0.8130
H  0.8750  0.2500  0.6250
H  0.2500  0.3750  0.6250
Ag  0.5929  0.6021  0.4059
S  0.7500  0.3750  0.1250
Ag  0.1870  0.0941  0.6962
S  0.8750  0.1250  0.2500
Ag  0.9071  0.0941  0.8979
Ag  0.8038  0.3130  0.9059
S  0.3750  0.7500  0.6250
H  0.5000  0.5000  0.5000
H  0.0000  0.0000  0.0000
H  0.2500  0.8750  0.1250
Ag  0.1870  0.0929  0.9908
S  0.2500  0.6250  0.8750
H  0.7500  0.1250  0.8750
Ag  0.3130  0.5092  0.4071
S  0.1250  0.2500  0.8750
H  0.7500  0.6250  0.3750
Ag  0.8130  0.9059  0.3038
Ag  0.8130  0.9071  0.0092
Ag  0.8979  0.3038  0.4908
Ag  0.5929  0.9908  0.6870
Ag  0.4908  0.6870  0.0929
H  0.3750  0.2500  0.1250

Compound: La2PmNdGa2
Source: Alexandria
Functional: PBE
Structure: optimized geometry

Properties
- ΔE_f (eV/atom) = -0.4046

Cell lengths 5.2194, 6.7819, 9.7935 Å; angles 90.00, 90.00, 90.00 degrees
Positions (direct):
Pm  0.5000  0.1960  0.6683
La  0.0000  0.3181  0.1679
Nd  0.0000  0.9944  0.4463
Nd  0.0000  0.4944  0.5537
La  0.5000  0.0198  0.0588
Ga  0.5000  0.7259  0.6438
Pm  0.5000  0.6960  0.3317
Ga  0.0000  0.7915  0.1578
Ga  0.5000  0.2259  0.3562
La  0.0000  0.8181  0.8321
La  0.5000  0.5198  0.9412
Ga  0.0000  0.2915  0.8422

Compound: Zr2TaNb
Source: Alexandria
Functional: PBE
Structure: optimized geometry

Properties
- energy above the lowest structure with this stoichiometry (meV/atom) = 468
- ΔE_f (eV/atom) = 0.6227

Cell lengths 7.6368, 7.6368, 6.1333 Å; angles 51.50, 51.50, 90.00 degrees
Positions (direct):
Zr  0.3750  0.3770  0.7500
Nb  0.5000  0.5000  0.0000
Zr  0.6230  0.1250  0.2500
Ta  0.7500  0.2500  0.5000
Nb  0.2500  0.7500  0.5000
Ta  0.0000  0.0000  0.0000
Zr  0.1270  0.6250  0.2500
Zr  0.8750  0.8730  0.7500

Compound: NbTcAu2
Source: Alexandria
Functional: PBE
Structure: optimized geometry

Properties
- energy above the lowest structure with this stoichiometry (meV/atom) = 0
- ΔE_f (eV/atom) = 0.3417

Cell lengths 4.6011, 4.6011, 4.6011 Å; angles 60.00, 60.00, 60.00 degrees
Positions (direct):
Au  0.7500  0.7500  0.7500
Au  0.2500  0.2500  0.2500
Nb  0.0000  0.0000  0.0000
Tc  0.5000  0.5000  0.5000

| no. | final energy (eV per cell) | calculated density (g cm⁻³) |
| --- | --- | --- |
| 1 | -16.1 | 11.68 |
| 2 | -14.2 | 8.09 |
| 3 | -41.5 | 6.42 |
| 4 | -25.7 | 9.97 |
| 5 | -236.0 | 8.38 |
| 6 | -29.3 | 7.91 |
| 7 | -79.0 | 3.60 |
| 8 | -18.3 | 10.38 |
| 9 | -241.3 | 7.68 |
| 10 | -55.7 | 6.77 |
| 11 | -73.1 | 8.94 |
| 12 | -25.6 | 14.10 |